VASP calculation (PBE-GGA) on a geometry-optimized LiHoTl2F6 structure.

Lattice parameters (Å, degrees): 6.1156 6.1156 6.1287 119.96 119.96 89.97
Closest atoms and distances in Å follow each position.
Fractional coordinates of all 10 atoms:
Li 0.9999 0.0004 0.9998  6 F 2.14-2.16
F 0.7512 0.7517 0.5025  1 Li 2.16, 1 Ho 2.18
F 0.2478 0.2483 0.9997  1 Li 2.14, 1 Ho 2.18
F 0.7519 0.7525 0.9998  1 Li 2.14, 1 Ho 2.18
F 0.2486 0.2491 0.4971  1 Li 2.16, 1 Ho 2.18
F 0.7521 0.2482 0.9997  1 Li 2.14, 1 Ho 2.18
F 0.2477 0.7525 0.9998  1 Li 2.14, 1 Ho 2.18
Ho 0.4999 0.5004 0.9998  6 F 2.18
Tl 0.2500 0.7503 0.4999  12 F 3.06
Tl 0.7499 0.2505 0.4999  12 F 3.06-3.07

Uncorrected formation energy, eV/atom: -2.94
E_tot, eV per formula unit: -51.85
Calculated density, g cm⁻³: 7.11